a) # HfZrMoPt

Crystalline HfZrMoPt at its relaxed geometry (PBE, the Alexandria database).

```
data_HfZrMoPt
_chemical_formula_sum 'Hf4 Zr4 Mo4 Pt4'
_cell_length_a 6.6376
_cell_length_b 6.6376
_cell_length_c 6.6376
_cell_angle_alpha 90.00
_cell_angle_beta 90.00
_cell_angle_gamma 90.00
_space_group_name_H-M_alt 'F -4 3 m'
_space_group_IT_number 216
_space_group_name_Hall 'F -4 2 3'
loop_
_atom_site_label
_atom_site_type_symbol
_atom_site_fract_x
_atom_site_fract_y
_atom_site_fract_z
Hf1 Hf 0.0000 0.0000 0.0000
Zr1 Zr 0.0000 0.0000 0.5000
Mo1 Mo 0.2500 0.2500 0.2500
Pt1 Pt 0.2500 0.2500 0.7500
```

Calculated values
**D(E_F)**: 0.183 states/eV/atom

=====

b) # HfZrMoPt

Crystalline HfZrMoPt at its relaxed geometry (PBE, the Alexandria database).

```
data_HfZrMoPt
_chemical_formula_sum 'Hf1 Zr1 Mo1 Pt1'
_cell_length_a 3.3582
_cell_length_b 3.3582
_cell_length_c 6.5446
_cell_angle_alpha 90.00
_cell_angle_beta 90.00
_cell_angle_gamma 90.00
_space_group_name_H-M_alt 'P 4 m m'
_space_group_IT_number 99
_space_group_name_Hall 'P 4 -2'
loop_
_atom_site_label
_atom_site_type_symbol
_atom_site_fract_x
_atom_site_fract_y
_atom_site_fract_z
Hf1 Hf 0.0000 0.0000 0.0000
Zr1 Zr 0.0000 0.0000 0.5144
Mo1 Mo 0.5000 0.5000 0.7586
Pt1 Pt 0.5000 0.5000 0.2516
```

Calculated values
**D(E_F)**: 0.635 states/eV/atom

=====

Stability ranking, top entry: b); the second entry is 26 meV per atom less favorable.

=====

a) # Rb2HfMo

Crystalline Rb2HfMo at its relaxed geometry (PBE, the Alexandria database).

```
data_Rb2HfMo
_chemical_formula_sum 'Rb8 Hf4 Mo4'
_cell_length_a 13.3106
_cell_length_b 13.3106
_cell_length_c 4.8029
_cell_angle_alpha 90.00
_cell_angle_beta 90.00
_cell_angle_gamma 90.00
_space_group_name_H-M_alt 'I -4 2 d'
_space_group_IT_number 122
_space_group_name_Hall 'I -4 2bw'
loop_
_atom_site_label
_atom_site_type_symbol
_atom_site_fract_x
_atom_site_fract_y
_atom_site_fract_z
Rb1 Rb 0.0921 0.2500 0.1250
Hf1 Hf 0.0000 0.0000 0.5000
Mo1 Mo 0.0000 0.0000 0.0000
```

Calculated values
**D(E_F)**: 1.545 states/eV/atom

=====

b) # Rb2HfMo

Crystalline Rb2HfMo at its relaxed geometry (PBE, the Alexandria database).

```
data_Rb2HfMo
_chemical_formula_sum 'Rb8 Hf4 Mo4'
_cell_length_a 8.3862
_cell_length_b 8.3862
_cell_length_c 8.3862
_cell_angle_alpha 90.00
_cell_angle_beta 90.00
_cell_angle_gamma 90.00
_space_group_name_H-M_alt 'F m -3 m'
_space_group_IT_number 225
_space_group_name_Hall '-F 4 2 3'
loop_
_atom_site_label
_atom_site_type_symbol
_atom_site_fract_x
_atom_site_fract_y
_atom_site_fract_z
Rb1 Rb 0.2500 0.2500 0.2500
Hf1 Hf 0.0000 0.0000 0.0000
Mo1 Mo 0.0000 0.0000 0.5000
```

Calculated values
**D(E_F)**: 0.242 states/eV/atom

=====

Stability ranking, top entry: a); the second entry is 647 meV per atom less favorable.

=====

a) # HfRe3Mo

Crystalline HfRe3Mo at its relaxed geometry (PBE, the Alexandria database).

```
data_HfRe3Mo
_chemical_formula_sum 'Hf1 Re3 Mo1'
_cell_length_a 4.6703
_cell_length_b 4.6703
_cell_length_c 4.6703
_cell_angle_alpha 90.00
_cell_angle_beta 90.00
_cell_angle_gamma 90.00
_space_group_name_H-M_alt 'P m -3 m'
_space_group_IT_number 221
_space_group_name_Hall '-P 4 2 3'
loop_
_atom_site_label
_atom_site_type_symbol
_atom_site_fract_x
_atom_site_fract_y
_atom_site_fract_z
Hf1 Hf 0.0000 0.0000 0.0000
Re1 Re 0.0000 0.0000 0.5000
Mo1 Mo 0.5000 0.5000 0.5000
```

Calculated values
**D(E_F)**: 1.121 states/eV/atom

=====

b) # HfRe3Mo

Crystalline HfRe3Mo at its relaxed geometry (PBE, the Alexandria database).

```
data_HfRe3Mo
_chemical_formula_sum 'Hf1 Re3 Mo1'
_cell_length_a 4.6675
_cell_length_b 4.6675
_cell_length_c 4.6675
_cell_angle_alpha 90.00
_cell_angle_beta 90.00
_cell_angle_gamma 90.00
_space_group_name_H-M_alt 'P m -3 m'
_space_group_IT_number 221
_space_group_name_Hall '-P 4 2 3'
loop_
_atom_site_label
_atom_site_type_symbol
_atom_site_fract_x
_atom_site_fract_y
_atom_site_fract_z
Hf1 Hf 0.0000 0.0000 0.0000
Re1 Re 0.0000 0.5000 0.5000
Mo1 Mo 0.5000 0.5000 0.5000
```

Calculated values
**D(E_F)**: 0.590 states/eV/atom

=====

Stability ranking, top entry: b); the second entry is 976 meV per atom less favorable.

=====

a) # HfReMo3

Crystalline HfReMo3 at its relaxed geometry (PBE, the Alexandria database).

```
data_HfReMo3
_chemical_formula_sum 'Hf1 Re1 Mo3'
_cell_length_a 4.6640
_cell_length_b 4.6640
_cell_length_c 4.6640
_cell_angle_alpha 90.00
_cell_angle_beta 90.00
_cell_angle_gamma 90.00
_space_group_name_H-M_alt 'P m -3 m'
_space_group_IT_number 221
_space_group_name_Hall '-P 4 2 3'
loop_
_atom_site_label
_atom_site_type_symbol
_atom_site_fract_x
_atom_site_fract_y
_atom_site_fract_z
Hf1 Hf 0.0000 0.0000 0.0000
Re1 Re 0.5000 0.5000 0.5000
Mo1 Mo 0.0000 0.0000 0.5000
```

Calculated values
**D(E_F)**: 2.021 states/eV/atom

=====

b) # HfReMo3

Crystalline HfReMo3 at its relaxed geometry (PBE, the Alexandria database).

```
data_HfReMo3
_chemical_formula_sum 'Hf1 Re1 Mo3'
_cell_length_a 4.7289
_cell_length_b 4.7289
_cell_length_c 4.7289
_cell_angle_alpha 90.00
_cell_angle_beta 90.00
_cell_angle_gamma 90.00
_space_group_name_H-M_alt 'P m -3 m'
_space_group_IT_number 221
_space_group_name_Hall '-P 4 2 3'
loop_
_atom_site_label
_atom_site_type_symbol
_atom_site_fract_x
_atom_site_fract_y
_atom_site_fract_z
Hf1 Hf 0.0000 0.0000 0.0000
Re1 Re 0.5000 0.5000 0.5000
Mo1 Mo 0.0000 0.5000 0.5000
```

Calculated values
**D(E_F)**: 1.565 states/eV/atom

=====

Stability ranking, top entry: b); the second entry is 1085 meV per atom less favorable.